YScCo2 at its PBEsol-relaxed geometry. Source: Alexandria via LeMat-Bulk, functional meta-GGA SCAN.

Unit cell a=6.3622 b=6.3622 c=6.3622 alpha=90.00 beta=90.00 gamma=90.00
Closest atoms and distances in Å follow each position.
Space group Fm-3m (No. 225)
Inequivalent atoms, fractional coordinates:
Y1 0.0000 0.0000 0.0000 [4 per cell]  8 Co 2.75
Sc1 0.0000 0.0000 0.5000 [4 per cell]  8 Co 2.75
Co1 0.2500 0.2500 0.2500 [8 per cell]  4 Sc 2.75, 4 Y 2.75

Values from the calculation:
crystal system = cubic
relative energy among the computed polymorphs = 13.7 meV/atom
energy of formation = -0.2095 eV per atom



YSc2Co at its PBEsol-relaxed geometry. Source: Alexandria via LeMat-Bulk, functional meta-GGA SCAN.

Unit cell a=3.1611 b=3.1611 c=8.2498 alpha=90.00 beta=90.00 gamma=90.00
Closest atoms and distances in Å follow each position.
Space group P4/mmm (No. 123)
Inequivalent atoms, fractional coordinates:
Y1 0.0000 0.0000 0.0000 [1 per cell]  4 Y 3.16, 8 Sc 3.47
Sc1 0.5000 0.5000 0.3214 [2 per cell]  4 Co 2.68, 1 Sc 2.95
Co1 0.0000 0.0000 0.5000 [1 per cell]  8 Sc 2.68

Values from the calculation:
crystal system = tetragonal
relative energy among the computed polymorphs = 0.0 meV/atom
energy of formation = -0.1600 eV per atom



YScCo2 at its PBEsol-relaxed geometry. Source: Alexandria via LeMat-Bulk, functional meta-GGA SCAN.

Unit cell a=3.1531 b=4.1318 c=10.5398 alpha=90.00 beta=90.00 gamma=90.00
Closest atoms and distances in Å follow each position.
Space group Imm2 (No. 44)
Inequivalent atoms, fractional coordinates:
Y1 0.0000 0.0000 0.0000 [2 per cell]  4 Co 2.72
Sc1 0.0000 0.5000 0.2200 [2 per cell]  4 Co 2.64
Co1 0.0000 0.0000 0.4230 [2 per cell]  2 Co 2.28
Co2 0.0000 0.5000 0.7667 [2 per cell]  2 Co 2.28

Values from the calculation:
crystal system = orthorhombic
relative energy among the computed polymorphs = 214.8 meV/atom
energy of formation = -0.0084 eV per atom



Y2ScCo at its PBEsol-relaxed geometry. Source: Alexandria via LeMat-Bulk, functional meta-GGA SCAN.

Unit cell a=3.4010 b=5.0981 c=10.3352 alpha=90.00 beta=90.00 gamma=90.00
Closest atoms and distances in Å follow each position.
Space group Imm2 (No. 44)
Inequivalent atoms, fractional coordinates:
Y1 0.0000 0.0000 0.0000 [2 per cell]  4 Co 3.07, 2 Sc 3.22, 4 Y 3.26-3.40
Y2 0.0000 0.5000 0.1968 [2 per cell]  2 Co 2.73
Sc1 0.0000 0.5000 0.8103 [2 per cell]  2 Co 2.52
Co1 0.0000 0.0000 0.4902 [2 per cell]  2 Sc 2.52, 2 Y 2.73

Values from the calculation:
crystal system = orthorhombic
relative energy among the computed polymorphs = 29.2 meV/atom
energy of formation = -0.0814 eV per atom



YScCo2 at its PBEsol-relaxed geometry. Source: Alexandria via LeMat-Bulk, functional meta-GGA SCAN.

Unit cell a=3.2801 b=3.2801 c=22.0889 alpha=90.00 beta=90.00 gamma=120.00
Closest atoms and distances in Å follow each position.
Space group R-3m (No. 166, hexagonal axes)
Inequivalent atoms, fractional coordinates:
Y1 0.0000 0.0000 0.0000 [3 per cell]  6 Co 2.70
Sc1 0.0000 0.0000 0.5000 [3 per cell]  6 Co 2.58
Co1 0.0000 0.0000 0.2460 [6 per cell]  3 Sc 2.58, 3 Y 2.70

Values from the calculation:
crystal system = trigonal
relative energy among the computed polymorphs = 543.3 meV/atom
energy of formation = 0.3201 eV per atom



YSc3Co at its PBEsol-relaxed geometry. Source: Alexandria via LeMat-Bulk, functional meta-GGA SCAN.

Unit cell a=4.9393 b=4.9393 c=4.9393 alpha=90.00 beta=90.00 gamma=90.00
Closest atoms and distances in Å follow each position.
Space group Pm-3m (No. 221)
Inequivalent atoms, fractional coordinates:
Y1 0.0000 0.0000 0.0000 [1 per cell]  6 Sc 2.47
Sc1 0.0000 0.0000 0.5000 [3 per cell]  2 Y 2.47
Co1 0.5000 0.5000 0.5000 [1 per cell]  12 Sc 3.49

Values from the calculation:
crystal system = cubic
relative energy among the computed polymorphs = 1480.6 meV/atom
energy of formation = 1.4195 eV per atom



ScZn4Co at its PBEsol-relaxed geometry. Source: Alexandria via LeMat-Bulk, functional meta-GGA SCAN.

Unit cell a=6.9245 b=6.9245 c=6.9245 alpha=90.00 beta=90.00 gamma=90.00
Closest atoms and distances in Å follow each position.
Space group F-43m (No. 216)
Inequivalent atoms, fractional coordinates:
Sc1 0.0000 0.0000 0.0000 [4 per cell]  12 Zn 2.87, 4 Co 3.00
Zn1 0.1242 0.1242 0.6242 [16 per cell]  6 Zn 2.43-2.46
Co1 0.2500 0.2500 0.2500 [4 per cell]  12 Zn 2.87, 4 Sc 3.00

Values from the calculation:
crystal system = cubic
energy of formation = -0.2274 eV per atom



Sc2ZnCo2 at its PBEsol-relaxed geometry. Source: Alexandria via LeMat-Bulk, functional meta-GGA SCAN.

Unit cell a=6.3859 b=6.3859 c=3.6859 alpha=90.00 beta=90.00 gamma=90.00
Closest atoms and distances in Å follow each position.
Space group P4/mbm (No. 127)
Inequivalent atoms, fractional coordinates:
Sc1 0.1771 0.3229 0.0000 [4 per cell]  6 Co 2.57-2.69
Zn1 0.0000 0.0000 0.5000 [2 per cell]  4 Co 2.52
Co1 0.1249 0.6249 0.5000 [4 per cell]  1 Co 2.26, 2 Zn 2.52

Values from the calculation:
crystal system = tetragonal
energy of formation = -0.2125 eV per atom



Zr2ScCo2 at its PBEsol-relaxed geometry. Source: Alexandria via LeMat-Bulk, functional meta-GGA SCAN.

Unit cell a=7.1021 b=7.1021 c=3.3107 alpha=90.00 beta=90.00 gamma=90.00
Closest atoms and distances in Å follow each position.
Space group P4/mbm (No. 127)
Inequivalent atoms, fractional coordinates:
Zr1 0.1642 0.3358 0.0000 [4 per cell]  6 Co 2.67
Sc1 0.0000 0.0000 0.5000 [2 per cell]  4 Co 2.79, 8 Zr 3.13
Co1 0.1278 0.6278 0.5000 [4 per cell]  1 Co 2.57, 6 Zr 2.67, 2 Sc 2.79

Values from the calculation:
crystal system = tetragonal
energy of formation = -0.1672 eV per atom



ZrScCo at its PBEsol-relaxed geometry. Source: Alexandria via LeMat-Bulk, functional meta-GGA SCAN.

Unit cell a=3.1491 b=3.1491 c=10.6676 alpha=90.00 beta=90.00 gamma=90.00
Closest atoms and distances in Å follow each position.
Space group I4mm (No. 107)
Inequivalent atoms, fractional coordinates:
Zr1 0.0000 0.0000 0.0000 [2 per cell]  4 Co 2.66
Sc1 0.0000 0.0000 0.7143 [2 per cell]  4 Co 2.73, 1 Zr 3.05
Co1 0.0000 0.0000 0.3628 [2 per cell]  4 Zr 2.66, 4 Sc 2.73

Values from the calculation:
crystal system = tetragonal
energy of formation = -0.2368 eV per atom



CoSe3 at its PBEsol-relaxed geometry. Source: Alexandria via LeMat-Bulk, functional meta-GGA SCAN.

Unit cell a=4.8657 b=8.1867 c=3.4560 alpha=90.00 beta=90.00 gamma=90.00
Closest atoms and distances in Å follow each position.
Space group Cmmm (No. 65)
Inequivalent atoms, fractional coordinates:
Co1 0.0000 0.0000 0.0000 [2 per cell]  6 Se 2.34-2.43
Se1 0.0000 0.1923 0.5000 [4 per cell]  2 Co 2.34, 2 Se 2.61
Se2 0.0000 0.5000 0.0000 [2 per cell]  2 Co 2.43

Values from the calculation:
crystal system = orthorhombic
relative energy among the computed polymorphs = 0.0 meV/atom



Co3Se4 at its PBEsol-relaxed geometry. Source: Alexandria via LeMat-Bulk, functional meta-GGA SCAN.

Unit cell a=4.4543 b=4.4543 c=7.5186 alpha=90.00 beta=90.00 gamma=120.00
Closest atoms and distances in Å follow each position.
Space group P6/mmm (No. 191)
Inequivalent atoms, fractional coordinates:
Co1 0.0000 0.5000 0.0000 [3 per cell]  4 Co 2.23
Se1 0.0000 0.0000 0.1921 [2 per cell]  6 Co 2.65, 1 Se 2.89
Se2 0.3333 0.6667 0.5000 [2 per cell]  3 Se 2.57

Values from the calculation:
crystal system = hexagonal
relative energy among the computed polymorphs = 768.5 meV/atom



E for every record listed, in sequence, given in eV per atom: -19.382 -18.565 -19.181 -21.888 -18.852 -16.152 -14.494 -15.532 -22.216 -20.984 -19.376 -18.425.